Record 1
## TbCdPb (PBE)

Data for a relaxed TbCdPb crystal.

Energy relative to the elements (eV/atom): -0.22
Total moment (Bohr magnetons per cell): 0.00

abc: 3.6321 3.6321 12.4506
angles: 90.00 90.00 90.00
Closest atoms and distances in Å follow each position.
Space group I4mm (No. 107)
One atom of each set of equivalent atoms:
Tb 0.0000 0.0000 0.0000 x2  4 Cd 3.24, 4 Pb 3.43
Cd 0.0000 0.0000 0.6588 x2  4 Tb 3.24, 4 Pb 3.24
Pb 0.0000 0.0000 0.3177 x2  4 Cd 3.24, 4 Tb 3.43

=====

Record 2
## CaMnH2 (PBE)

Data for a relaxed CaMnH2 crystal.

Offset from the most stable computed form (kJ/mol of formula units): 327
Total moment (Bohr magnetons per cell): 0.00

abc: 5.5804 5.5804 5.5804
angles: 90.00 90.00 90.00
Closest atoms and distances in Å follow each position.
Space group Fm-3m (No. 225)
One atom of each set of equivalent atoms:
Ca 0.0000 0.0000 0.0000 x4  8 H 2.42
Mn 0.0000 0.0000 0.5000 x4  8 H 2.42
H 0.2500 0.2500 0.2500 x8  4 Ca 2.42, 4 Mn 2.42